Mg2HO GGA-PBE optimized geometry; symmetry = I-42d; E above lowest polymorph = 19 meV per atom
1.0
-4.5178 1.3208 0.7225
-1.5040 -4.0633 -1.9760
-2.9428 -3.4658 3.6283
H Mg O
2 4 2
Direct
0.5000 0.5000 0.0000
0.2500 0.7500 0.5000
0.6470 0.1250 0.2500
0.1030 0.6250 0.2500
0.3750 0.3530 0.7500
0.8750 0.8970 0.7500
0.0000 0.0000 0.0000
0.7500 0.2500 0.5000